Pm2CrRhO8 after structural relaxation. Source: the Alexandria database, functional PBE with a Hubbard U.

a = 4.111 Å, b = 5.816 Å, c = 6.289 Å
α = 88.92°, β = 89.43°, γ = 78.72°
Atoms (fractional coordinates):
Pm 0.240 0.053 0.248
Pm 0.760 0.947 0.752
Cr 0.500 0.500 0.500
Rh 0.500 0.500 0.000
O 0.222 0.455 0.256
O 0.270 0.832 0.948
O 0.280 0.810 0.542
O 0.293 0.368 0.750
O 0.707 0.632 0.250
O 0.720 0.190 0.458
O 0.730 0.168 0.052
O 0.778 0.545 0.744

Values from the calculation:
The electronic total energy comes out at -7.149 eV per atom. Its space group is P-1 (2). The volume comes out at 12.28 Å³/atom.